(1)
Computed, not measured: crystalline La3Cu2Ni7 at its relaxed geometry at the PBE-GGA level of DFT.

a = 5.1204 Å, b = 5.1204 Å, c = 24.9196 Å
α = 90.00°, β = 90.00°, γ = 120.00°
Space group R-3m (No. 166, hexagonal axes)
Asymmetric unit:
La: 0.0000 0.0000 0.0000 x3
La: 0.0000 0.0000 0.1384 x6
Cu: 0.0000 0.0000 0.3330 x6
Ni: 0.0000 0.0000 0.5000 x3
Ni: 0.0012 0.5006 0.0815 x18

Results
Formation energy from the elements ... -0.309 eV/atom
Theoretical density ... 8.4 g/cm3
Energy ... -67.16 eV per formula unit
Calculated volume ... 566 Å³ per cell



(2)
Computed, not measured: crystalline LaCuNi4 at its relaxed geometry at the PBE-GGA level of DFT.

a = 7.020 Å, b = 7.020 Å, c = 7.020 Å
α = 90.00°, β = 90.00°, γ = 90.00°
Space group F-43m (No. 216)
Asymmetric unit:
La: 0.000 0.000 0.000 x4
Cu: 0.250 0.250 0.750 x4
Ni: 0.124 0.124 0.376 x16

Results
Formation energy from the elements ... -0.174 eV/atom
Theoretical density ... 8.4 g/cm3
Relative energy among the computed polymorphs ... 0.100 eV per atom
Energy ... -33.19 eV per formula unit
Calculated volume ... 346 Å³ per cell



(3)
Computed, not measured: crystalline La3Cu2Ni4 at its relaxed geometry at the PBE-GGA level of DFT.

a = 10.683 Å, b = 4.196 Å, c = 8.229 Å
α = 90.00°, β = 104.48°, γ = 90.00°
Space group C2/m (No. 12)
Asymmetric unit:
La: 0.000 0.000 0.000 x2
La: 0.163 0.500 0.670 x4
Cu: 0.115 0.500 0.278 x4
Ni: 0.059 0.000 0.394 x4
Ni: 0.223 0.500 0.050 x4

Results
Formation energy from the elements ... -0.288 eV/atom
Theoretical density ... 7.2 g/cm3
Energy ... -48.69 eV per formula unit
Calculated volume ... 357 Å³ per cell



(4)
Computed, not measured: crystalline La2Cu9Ni6 at its relaxed geometry at the PBE-GGA level of DFT.

a = 4.9886 Å, b = 4.9886 Å, c = 12.1625 Å
α = 90.00°, β = 90.00°, γ = 120.00°
Space group P6/mmm (No. 191)
Asymmetric unit:
La: 0.0000 0.0000 0.1794 x2
Cu: 0.0000 0.5000 0.0000 x3
Cu: 0.0000 0.5000 0.3386 x6
Ni: 0.3333 0.6667 0.1686 x4
Ni: 0.3333 0.6667 0.5000 x2

Results
Formation energy from the elements ... -0.015 eV/atom
Theoretical density ... 7.6 g/cm3
Energy ... -81.67 eV per formula unit
Calculated volume ... 262 Å³ per cell



(5)
Computed, not measured: crystalline La6CuNi3 at its relaxed geometry at the PBE-GGA level of DFT.

a = 10.745 Å, b = 3.924 Å, c = 14.030 Å
α = 90.00°, β = 110.24°, γ = 90.00°
Space group P2_1/m (No. 11)
Asymmetric unit:
La: 0.007 0.250 0.118 x2
La: 0.054 0.750 0.398 x2
La: 0.259 0.250 0.818 x2
La: 0.327 0.250 0.589 x2
La: 0.335 0.250 0.324 x2
La: 0.361 0.750 0.084 x2
Cu: 0.438 0.750 0.769 x2
Ni: 0.153 0.750 0.652 x2
Ni: 0.172 0.250 0.995 x2
Ni: 0.423 0.750 0.477 x2

Results
Formation energy from the elements ... -0.193 eV/atom
Theoretical density ... 6.4 g/cm3
Energy ... -52.94 eV per formula unit
Calculated volume ... 555 Å³ per cell



(6)
Computed, not measured: crystalline La2CuNi9 at its relaxed geometry at the PBE-GGA level of DFT.

a = 4.9389 Å, b = 4.9389 Å, c = 24.6476 Å
α = 90.00°, β = 90.00°, γ = 120.00°
Space group R-3m (No. 166, hexagonal axes)
Asymmetric unit:
La: 0.0000 0.0000 0.1322 x6
Cu: 0.0000 0.0000 0.0000 x3
Ni: 0.0000 0.0000 0.3326 x6
Ni: 0.0000 0.0000 0.5000 x3
Ni: 0.0006 0.5003 0.0786 x18

Results
Formation energy from the elements ... -0.085 eV/atom
Theoretical density ... 8.3 g/cm3
Energy ... -67.00 eV per formula unit
Calculated volume ... 521 Å³ per cell



(7)
Computed, not measured: crystalline LaCuNi4 at its relaxed geometry at the PBE-GGA level of DFT.

a = 5.0331 Å, b = 5.0331 Å, c = 3.9889 Å
α = 90.00°, β = 90.00°, γ = 120.00°
Space group P-6m2 (No. 187)
Asymmetric unit:
La: 0.0000 0.0000 0.0000 x1
Cu: 0.3333 0.6667 0.0000 x1
Ni: 0.5012 0.0024 0.5000 x3
Ni: 0.6667 0.3333 0.0000 x1

Results
Formation energy from the elements ... -0.274 eV/atom
Theoretical density ... 8.3 g/cm3
Relative energy among the computed polymorphs ... 0.000 eV per atom
Energy ... -33.79 eV per formula unit
Calculated volume ... 88 Å³ per cell



(8)
Computed, not measured: crystalline La2CuNi at its relaxed geometry at the PBE-GGA level of DFT.

a = 3.469 Å, b = 3.469 Å, c = 8.005 Å
α = 90.00°, β = 90.00°, γ = 90.00°
Space group P4mm (No. 99)
Asymmetric unit:
La: 0.000 0.000 0.000 x1
La: 0.500 0.500 0.423 x1
Cu: 0.500 0.500 0.776 x1
Ni: 0.000 0.000 0.638 x1

Results
Formation energy from the elements ... -0.035 eV/atom
Theoretical density ... 6.9 g/cm3
Energy ... -19.87 eV per formula unit
Calculated volume ... 96 Å³ per cell



(9)
Computed, not measured: crystalline La3Cu2Ni3 at its relaxed geometry at the PBE-GGA level of DFT.

a = 7.444 Å, b = 15.302 Å, c = 5.671 Å
α = 90.00°, β = 90.00°, γ = 90.00°
Space group Pnma (No. 62)
Asymmetric unit:
La: 0.025 0.101 0.143 x8
La: 0.159 0.250 0.616 x4
Cu: 0.133 0.605 0.357 x8
Ni: 0.161 0.034 0.579 x8
Ni: 0.195 0.750 0.598 x4

Results
Formation energy from the elements ... -0.251 eV/atom
Theoretical density ... 7.4 g/cm3
Energy ... -42.33 eV per formula unit
Calculated volume ... 646 Å³ per cell



(10)
Computed, not measured: crystalline La2Cu2Ni15 at its relaxed geometry at the PBE-GGA level of DFT.

a = 8.4275 Å, b = 8.4275 Å, c = 12.2122 Å
α = 90.00°, β = 90.00°, γ = 120.00°
Space group R-3m (No. 166, hexagonal axes)
Asymmetric unit:
La: 0.0000 0.0000 0.1571 x6
Cu: 0.0000 0.0000 0.4025 x6
Ni: 0.0000 0.2908 0.5000 x18
Ni: 0.0000 0.5000 0.0000 x9
Ni: 0.0036 0.5018 0.3445 x18

Results
Formation energy from the elements ... -0.164 eV/atom
Theoretical density ... 8.5 g/cm3
Energy ... -107.88 eV per formula unit
Calculated volume ... 751 Å³ per cell